This record from Alexandria via LeMat-Bulk describes a relaxed TbHfTe2 crystal. The functional is GGA-PBE.

It has space group R-3m (No. 166, hexagonal axes), with a = 3.8942 Å, b = 3.8942 Å, c = 29.3003 Å, α = 90.00°, β = 90.00° and γ = 120.00°. The distinct sites, in fractional coordinates, are Tb at (0.0000, 0.0000, 0.0000), Hf at (0.0000, 0.0000, 0.5000) and Te at (0.0000, 0.0000, 0.1049).

The energy relative to the elements, uncorrected comes out at -540 meV per atom.

This record from Alexandria via LeMat-Bulk describes a relaxed TbHfTe3 crystal. The functional is GGA-PBE.

It has space group Pnma (No. 62), with a = 9.083 Å, b = 4.101 Å, c = 15.135 Å, α = 90.00°, β = 90.00° and γ = 90.00°. The distinct sites, in fractional coordinates, are Tb at (0.089, 0.250, 0.167), Hf at (0.135, 0.750, 0.461), Te at (0.029, 0.750, 0.633), Te at (0.152, 0.750, 0.010) and Te at (0.197, 0.250, 0.796).

The energy relative to the elements, uncorrected comes out at -972 meV per atom.

This record from Alexandria via LeMat-Bulk describes a relaxed TbHfTe4 crystal. The functional is GGA-PBE.

It has space group P2/m (No. 10), with a = 7.276 Å, b = 4.124 Å, c = 7.948 Å, α = 90.00°, β = 116.36° and γ = 90.00°. The distinct sites, in fractional coordinates, are Tb at (0.000, 0.000, 0.000), Hf at (0.500, 0.500, 0.000), Te at (0.230, 0.000, 0.757) and Te at (0.309, 0.500, 0.252).

The energy relative to the elements, uncorrected comes out at -916 meV per atom.

This record from Alexandria via LeMat-Bulk describes a relaxed Tb3HfTl4Te8 crystal. The functional is GGA-PBE.

It has space group R-3m (No. 166, hexagonal axes), with a = 8.7431 Å, b = 8.7431 Å, c = 24.7005 Å, α = 90.00°, β = 90.00° and γ = 120.00°. The distinct sites, in fractional coordinates, are Tb at (0.0000, 0.5000, 0.0000), Hf at (0.0000, 0.0000, 0.0000), Tl at (0.0000, 0.0000, 0.5000), Tl at (0.0000, 0.5000, 0.5000), Te at (0.0000, 0.0000, 0.2608) and Te at (0.0163, 0.5082, 0.7368).

The energy relative to the elements, uncorrected comes out at -916 meV per atom.

This record from Alexandria via LeMat-Bulk describes a relaxed TbHfTh2 crystal. The functional is GGA-PBE.

It has space group R3m (No. 160, hexagonal axes), with a = 3.4711 Å, b = 3.4711 Å, c = 33.7762 Å, α = 90.00°, β = 90.00° and γ = 120.00°. The distinct sites, in fractional coordinates, are Tb at (0.0000, 0.0000, 0.0000), Hf at (0.0000, 0.0000, 0.1698), Th at (0.0000, 0.0000, 0.5815) and Th at (0.0000, 0.0000, 0.7555).

As for the calculated formation energy: 0.143 eV per atom.

This record from Alexandria via LeMat-Bulk describes a relaxed TbHfTh2 crystal. The functional is GGA-PBE.

It has space group P4/mmm (No. 123), with a = 3.472 Å, b = 3.472 Å, c = 9.828 Å, α = 90.00°, β = 90.00° and γ = 90.00°. The distinct sites, in fractional coordinates, are Tb at (0.000, 0.000, 0.000), Hf at (0.000, 0.000, 0.500) and Th at (0.500, 0.500, 0.266).

As for the calculated formation energy: 0.112 eV per atom.

This record from Alexandria via LeMat-Bulk describes a relaxed TbHfTh2 crystal. The functional is GGA-PBE.

It has space group P4/mmm (No. 123), with a = 4.928 Å, b = 4.928 Å, c = 4.852 Å, α = 90.00°, β = 90.00° and γ = 90.00°. The distinct sites, in fractional coordinates, are Tb at (0.000, 0.000, 0.000), Hf at (0.500, 0.500, 0.000) and Th at (0.000, 0.500, 0.500).

As for the calculated formation energy: 0.143 eV per atom.

This record from Alexandria via LeMat-Bulk describes a relaxed Tb2HfTh crystal. The functional is GGA-PBE.

It has space group R-3m (No. 166, hexagonal axes), with a = 3.3899 Å, b = 3.3899 Å, c = 35.7510 Å, α = 90.00°, β = 90.00° and γ = 120.00°. The distinct sites, in fractional coordinates, are Tb at (0.0000, 0.0000, 0.0871), Hf at (0.0000, 0.0000, 0.0000) and Th at (0.0000, 0.0000, 0.5000).

As for the calculated formation energy: 0.369 eV per atom.

Number 1: ρ 7.7 g cm⁻³, electronic total energy -5.757 eV per atom, DOS(E_F) 0.790 states/eV per atom. Number 2: ρ 8.5 g cm⁻³, electronic total energy -5.774 eV per atom, DOS(E_F) 0.640 states/eV per atom. Number 3: ρ 6.6 g cm⁻³, electronic total energy -5.442 eV per atom, DOS(E_F) 0.416 states/eV per atom. Number 4: ρ 7.6 g cm⁻³, electronic total energy -4.568 eV per atom, DOS(E_F) 0.293 states/eV per atom. Number 5: ρ 11.3 g cm⁻³, electronic total energy -7.213 eV per atom, DOS(E_F) 1.610 states/eV per atom. Number 6: ρ 11.2 g cm⁻³, electronic total energy -7.244 eV per atom, DOS(E_F) 1.466 states/eV per atom. Number 7: ρ 11.3 g cm⁻³, electronic total energy -7.213 eV per atom, DOS(E_F) 1.373 states/eV per atom. Number 8: ρ 10.2 g cm⁻³, electronic total energy -6.289 eV per atom, DOS(E_F) 1.296 states/eV per atom.